Crystalline EuGdDySn at its relaxed geometry. Source: Alexandria via LeMat-Bulk, functional PBE.

a = 7.7608 Å, b = 7.7608 Å, c = 7.7608 Å
α = 90.00°, β = 90.00°, γ = 90.00°
With the nearest neighbours (Å) after each atom.
Space group F-43m (No. 216)
Asymmetric unit:
Eu  0.0000  0.0000  0.0000 x4  4 Gd 3.36, 4 Dy 3.36
Gd  0.2500  0.2500  0.2500 x4  4 Sn 3.36, 4 Eu 3.36
Dy  0.2500  0.2500  0.7500 x4  4 Sn 3.36, 4 Eu 3.36
Sn  0.0000  0.0000  0.5000 x4  4 Dy 3.36, 4 Gd 3.36

D(E_F) (states/eV/f.u.): 6.1
Energy of formation (eV/atom): -0.260
Energy (eV/atom): -8.500

=====

Crystalline EuGdDyTh at its relaxed geometry. Source: Alexandria via LeMat-Bulk, functional PBE.

a = 8.1444 Å, b = 8.1444 Å, c = 8.1444 Å
α = 90.00°, β = 90.00°, γ = 90.00°
With the nearest neighbours (Å) after each atom.
Space group F-43m (No. 216)
Asymmetric unit:
Eu  0.0000  0.0000  0.0000 x4  4 Dy 3.53, 4 Gd 3.53
Gd  0.2500  0.2500  0.2500 x4  4 Eu 3.53, 4 Th 3.53
Dy  0.2500  0.2500  0.7500 x4  4 Th 3.53, 4 Eu 3.53
Th  0.0000  0.0000  0.5000 x4  4 Gd 3.53, 4 Dy 3.53

D(E_F) (states/eV/f.u.): 9.1
Energy of formation (eV/atom): 0.209
Energy (eV/atom): -8.885

=====

Crystalline EuGdDyY at its relaxed geometry. Source: Alexandria via LeMat-Bulk, functional PBE.

a = 8.1473 Å, b = 8.1473 Å, c = 8.1473 Å
α = 90.00°, β = 90.00°, γ = 90.00°
With the nearest neighbours (Å) after each atom.
Space group F-43m (No. 216)
Asymmetric unit:
Eu  0.0000  0.0000  0.0000 x4  4 Dy 3.53, 4 Y 3.53
Gd  0.0000  0.0000  0.5000 x4  4 Dy 3.53, 4 Y 3.53
Dy  0.2500  0.2500  0.2500 x4  4 Gd 3.53, 4 Eu 3.53
Y  0.2500  0.2500  0.7500 x4  4 Gd 3.53, 4 Eu 3.53

D(E_F) (states/eV/f.u.): 7.8
Energy of formation (eV/atom): 0.145
Energy (eV/atom): -8.711

=====

Crystalline EuDyGe2 at its relaxed geometry. Source: Alexandria via LeMat-Bulk, functional PBE.

a = 3.3931 Å, b = 3.3931 Å, c = 8.2637 Å
α = 90.00°, β = 90.00°, γ = 90.00°
With the nearest neighbours (Å) after each atom.
Space group P4/mmm (No. 123)
Asymmetric unit:
Eu  0.0000  0.0000  0.0000 x1  8 Ge 3.22, 4 Eu 3.39
Dy  0.0000  0.0000  0.5000 x1  8 Ge 3.11, 4 Dy 3.39
Ge  0.5000  0.5000  0.2597 x2  4 Dy 3.11, 4 Eu 3.22, 4 Ge 3.39

Energy above the lowest structure with this stoichiometry (meV/atom): 0
D(E_F) (states/eV/f.u.): 2.7
Energy of formation (eV/atom): -0.598
Energy (eV/atom): -6.626

=====

Crystalline EuDyGe2 at its relaxed geometry. Source: Alexandria via LeMat-Bulk, functional PBE.

a = 3.8604 Å, b = 3.8604 Å, c = 24.6672 Å
α = 90.00°, β = 90.00°, γ = 120.00°
With the nearest neighbours (Å) after each atom.
Space group R-3m (No. 166, hexagonal axes)
Asymmetric unit:
Eu  0.0000  0.0000  0.0000 x3  6 Ge 3.08
Dy  0.0000  0.0000  0.5000 x3  6 Ge 2.98
Ge  0.0000  0.0000  0.2470 x6  3 Dy 2.98, 3 Eu 3.08

Energy above the lowest structure with this stoichiometry (meV/atom): 126
D(E_F) (states/eV/f.u.): 8.5
Energy of formation (eV/atom): -0.472
Energy (eV/atom): -6.500

=====

Crystalline EuDyGe4 at its relaxed geometry. Source: Alexandria via LeMat-Bulk, functional PBE.

a = 8.0476 Å, b = 8.0476 Å, c = 8.0476 Å
α = 90.00°, β = 90.00°, γ = 90.00°
With the nearest neighbours (Å) after each atom.
Space group F-43m (No. 216)
Asymmetric unit:
Eu  0.0000  0.0000  0.0000 x4  12 Ge 3.34, 4 Dy 3.48
Dy  0.2500  0.2500  0.2500 x4  12 Ge 3.33, 4 Eu 3.48
Ge  0.1236  0.1236  0.6236 x16  6 Ge 2.81-2.88

D(E_F) (states/eV/f.u.): 5.0
Energy of formation (eV/atom): -0.361
Energy (eV/atom): -5.919

=====

Crystalline EuDyMgGe at its relaxed geometry. Source: Alexandria via LeMat-Bulk, functional PBE.

a = 7.4122 Å, b = 7.4122 Å, c = 7.4122 Å
α = 90.00°, β = 90.00°, γ = 90.00°
With the nearest neighbours (Å) after each atom.
Space group F-43m (No. 216)
Asymmetric unit:
Eu  0.0000  0.0000  0.0000 x4  4 Mg 3.21, 4 Ge 3.21
Dy  0.0000  0.0000  0.5000 x4  4 Ge 3.21, 4 Mg 3.21
Mg  0.2500  0.2500  0.2500 x4  4 Dy 3.21, 4 Eu 3.21
Ge  0.2500  0.2500  0.7500 x4  4 Dy 3.21, 4 Eu 3.21

D(E_F) (states/eV/f.u.): 2.8
Energy of formation (eV/atom): -0.332
Energy (eV/atom): -5.604

=====

Crystalline EuDyGePd at its relaxed geometry. Source: Alexandria via LeMat-Bulk, functional PBE.

a = 7.1983 Å, b = 7.1983 Å, c = 7.1983 Å
α = 90.00°, β = 90.00°, γ = 90.00°
With the nearest neighbours (Å) after each atom.
Space group F-43m (No. 216)
Asymmetric unit:
Eu  0.0000  0.0000  0.0000 x4  4 Pd 3.12, 4 Ge 3.12
Dy  0.0000  0.0000  0.5000 x4  4 Ge 3.12, 4 Pd 3.12
Ge  0.2500  0.2500  0.7500 x4  4 Dy 3.12, 4 Eu 3.12
Pd  0.2500  0.2500  0.2500 x4  4 Dy 3.12, 4 Eu 3.12

D(E_F) (states/eV/f.u.): 10.9
Energy of formation (eV/atom): -0.690
Energy (eV/atom): -6.862

=====

Crystalline EuDyTlGe at its relaxed geometry. Source: Alexandria via LeMat-Bulk, functional PBE.

a = 7.5264 Å, b = 7.5264 Å, c = 7.5264 Å
α = 90.00°, β = 90.00°, γ = 90.00°
With the nearest neighbours (Å) after each atom.
Space group F-43m (No. 216)
Asymmetric unit:
Eu  0.0000  0.0000  0.0000 x4  4 Ge 3.26, 4 Tl 3.26
Dy  0.0000  0.0000  0.5000 x4  4 Ge 3.26, 4 Tl 3.26
Tl  0.2500  0.2500  0.7500 x4  4 Dy 3.26, 4 Eu 3.26
Ge  0.2500  0.2500  0.2500 x4  4 Dy 3.26, 4 Eu 3.26

D(E_F) (states/eV/f.u.): 1.9
Energy of formation (eV/atom): -0.427
Energy (eV/atom): -5.892

=====

Crystalline EuDyZnGe at its relaxed geometry. Source: Alexandria via LeMat-Bulk, functional PBE.

a = 7.2550 Å, b = 7.2550 Å, c = 7.2550 Å
α = 90.00°, β = 90.00°, γ = 90.00°
With the nearest neighbours (Å) after each atom.
Space group F-43m (No. 216)
Asymmetric unit:
Eu  0.0000  0.0000  0.0000 x4  4 Ge 3.14, 4 Zn 3.14
Dy  0.0000  0.0000  0.5000 x4  4 Zn 3.14, 4 Ge 3.14
Zn  0.2500  0.2500  0.7500 x4  4 Dy 3.14, 4 Eu 3.14
Ge  0.2500  0.2500  0.2500 x4  4 Dy 3.14, 4 Eu 3.14

D(E_F) (states/eV/f.u.): 2.8
Energy of formation (eV/atom): -0.476
Energy (eV/atom): -5.668

=====

Crystalline EuDyH2 at its relaxed geometry. Source: Alexandria via LeMat-Bulk, functional PBE.

a = 3.5635 Å, b = 3.5635 Å, c = 17.6640 Å
α = 90.00°, β = 90.00°, γ = 120.00°
With the nearest neighbours (Å) after each atom.
Space group R-3m (No. 166, hexagonal axes)
Asymmetric unit:
Eu  0.0000  0.0000  0.0000 x3  6 H 2.71
Dy  0.0000  0.0000  0.5000 x3  6 H 2.37
H  0.0000  0.0000  0.2337 x6  3 Dy 2.37

D(E_F) (states/eV/f.u.): 2.1
Energy (eV/atom): -5.741

=====

Crystalline Eu3Dy5H12 at its relaxed geometry. Source: Alexandria via LeMat-Bulk, functional PBE.

a = 13.3947 Å, b = 13.3947 Å, c = 13.3947 Å
α = 90.00°, β = 90.00°, γ = 90.00°
With the nearest neighbours (Å) after each atom.
Space group Ia-3d (No. 230)
Asymmetric unit:
Eu  0.0000  0.2500  0.1250 x24  8 H 2.37-2.54
Dy  0.0000  0.0000  0.0000 x16  6 H 2.22
Dy  0.0000  0.2500  0.3750 x24  4 H 2.18
H  0.0095  0.0624  0.6535 x96  2 Dy 2.18-2.22, 1 Eu 2.37

D(E_F) (states/eV/f.u.): 13.0
Energy (eV/atom): -5.125